Entry 1:
GdGaPO | PBE | optimized geometry

POSCAR file:
```
GdGaPO
1.0
-4.188 -1.216 -1.036
0.851 -4.175 1.459
-1.960 1.681 5.955
Ga O P Gd
2 2 2 2
Direct
0.000 0.658 0.937
0.000 0.342 0.437
0.500 0.666 0.938
0.500 0.334 0.438
0.000 0.157 0.788
0.000 0.843 0.288
0.500 0.182 0.092
0.500 0.818 0.592
```

Space group   Pmc2_1 (26)
Calculated density   6.945 g/cm³
Volume   131 Å³/cell
Raw total energy   -0.220 Ha/atom

Entry 2:
Gd2GaReO6 | PBE | optimized geometry

POSCAR file:
```
Gd2GaReO6
1.0
0.000 3.890 3.890
3.890 0.000 3.890
3.890 3.890 0.000
O Re Ga Gd
6 1 1 2
Direct
0.244 0.756 0.244
0.756 0.244 0.756
0.244 0.756 0.756
0.244 0.244 0.756
0.756 0.756 0.244
0.756 0.244 0.244
0.500 0.500 0.500
0.000 0.000 0.000
0.250 0.250 0.250
0.750 0.750 0.750
```

Space group   Fm-3m (225)
Calculated density   9.398 g/cm³
Volume   118 Å³/cell
Raw total energy   -0.275 Ha/atom

Entry 3:
GdPaGa | PBE | optimized geometry

POSCAR file:
```
GdPaGa
1.0
4.464 -1.791 0.746
1.323 -1.463 4.450
0.597 -4.741 0.926
Gd Pa Ga
1 1 1
Direct
0.250 0.250 0.250
0.750 0.750 0.750
0.000 0.000 0.000
```

Space group   F-43m (216)
Calculated density   9.326 g/cm³
Volume   82 Å³/cell
Raw total energy   -0.205 Ha/atom

Entry 4:
Gd2GaPb | PBE | optimized geometry

POSCAR file:
```
Gd2GaPb
1.0
4.224 0.000 0.000
0.000 2.267 5.684
0.000 -2.267 5.684
Gd Pb Ga
2 1 1
Direct
0.000 0.865 0.865
0.500 0.144 0.144
0.000 0.582 0.582
0.500 0.409 0.409
```

Space group   Amm2 (38)
Calculated density   9.023 g/cm³
Volume   109 Å³/cell
Raw total energy   -0.168 Ha/atom

Entry 5:
GdGaPbS3 | PBE | optimized geometry

POSCAR file:
```
GdGaPbS3
1.0
1.988 -6.986 0.000
1.988 6.986 0.000
0.000 0.000 10.896
Gd Ga Pb S
2 2 2 6
Direct
0.000 0.000 0.000
0.000 0.000 0.500
0.634 0.366 0.750
0.366 0.634 0.250
0.310 0.690 0.750
0.690 0.310 0.250
0.635 0.365 0.998
0.365 0.635 0.002
0.018 0.982 0.750
0.982 0.018 0.250
0.635 0.365 0.502
0.365 0.635 0.498
```

Space group   Cmcm (63)
Calculated density   5.821 g/cm³
Volume   303 Å³/cell
Raw total energy   -0.181 Ha/atom

Entry 6:
GdGaPbSe3 | PBE | optimized geometry

POSCAR file:
```
GdGaPbSe3
1.0
2.167 -7.040 0.000
2.167 7.040 0.000
0.000 0.000 10.618
Se Ga Gd Pb
6 2 2 2
Direct
0.909 0.091 0.250
0.359 0.641 0.537
0.641 0.359 0.037
0.091 0.909 0.750
0.359 0.641 0.963
0.641 0.359 0.463
0.458 0.542 0.750
0.542 0.458 0.250
0.000 0.000 0.000
0.000 0.000 0.500
0.738 0.262 0.750
0.262 0.738 0.250
```

Space group   Cmcm (63)
Calculated density   6.880 g/cm³
Volume   324 Å³/cell
Raw total energy   -0.165 Ha/atom